Na2Mn2PdO6 | PBE with a Hubbard U | relaxed

Output
Magnetization: 8.0 μB/f.u.
Theoretical density: 4.4 g/cm3
Calculated total energy: -6.108 eV/atom
Symmetry: C2/m (12)

Cell: 5.2424 5.2424 5.8672 Å, 100.14 100.14 116.37°
Closest atoms and distances in Å follow each position.
Element x y z (fractional)
1 Na 0.1713 0.8287 0.0000  6 O 2.39-2.49
2 Na 0.8287 0.1713 0.0000  6 O 2.39-2.49
3 Mn 0.3337 0.6663 0.5000  4 O 1.95-2.01
4 Mn 0.6663 0.3337 0.5000  4 O 1.95-2.01
5 Pd 0.0000 0.0000 0.5000  6 O 2.05-2.06
6 O 0.0320 0.3818 0.6994  1 Mn 1.95, 1 Pd 2.05
7 O 0.2658 0.2658 0.3232  2 Mn 2.01, 1 Pd 2.06
8 O 0.3818 0.0320 0.6994  1 Mn 1.95, 1 Pd 2.05
9 O 0.6182 0.9680 0.3006  1 Mn 1.95, 1 Pd 2.05
10 O 0.7342 0.7342 0.6768  2 Mn 2.01, 1 Pd 2.06
11 O 0.9680 0.6182 0.3006  1 Mn 1.95, 1 Pd 2.05